An optimized crystal structure of Nb2Au2S. Source: Alexandria via LeMat-Bulk, functional PBE-GGA.

Cell lengths 3.769, 3.769, 7.507 Å; angles 75.46, 75.46, 90.00 degrees
Element x y z (fractional)
Nb: 0.750 0.250 0.500
Nb: 0.250 0.750 0.500
Au: 0.401 0.401 0.198
Au: 0.599 0.599 0.802
S: 0.000 0.000 0.000

Values from the calculation:
Calculated volume (A^3/atom): 19.94
VASP energy (eV/atom): -5.75
Energy relative to the elements, uncorrected (eV per atom): 0.410